! Na2InGeS4 GGA-PBE relaxed; values from VASP
&SYSTEM
  ibrav = 0, nat = 16, ntyp = 4
/
ATOMIC_SPECIES
Na 22.99 Na.upf
In 114.82 In.upf
Ge 72.64 Ge.upf
S 32.06 S.upf
ATOMIC_POSITIONS angstrom
Na 0.000 0.000 0.000
Na 0.000 3.187 2.670
Na 3.187 0.000 8.011
Na 3.187 3.187 5.341
In 0.000 0.000 5.341
In 3.187 3.187 0.000
Ge 0.000 3.187 8.011
Ge 3.187 0.000 2.670
S 1.310 1.631 6.721
S 1.555 4.497 9.302
S 1.631 5.063 3.961
S 1.876 1.555 1.380
S 4.497 4.818 1.380
S 4.742 1.310 3.961
S 4.818 1.876 9.302
S 5.063 4.742 6.721
CELL_PARAMETERS angstrom
6.373 0.000 0.000
0.000 6.373 0.000
0.000 0.000 10.682
! Spin magnetization ... 0.06 μB/atom
! Raw formation energy ... -0.68 eV per atom